# Dy2UPbO8 PBE optimized geometry
data_Dy2UPbO8
_space_group_name_H-M_alt 'C m m m'
_space_group_IT_number 65
_space_group_name_Hall '-C 2 2'
_cell_length_a 7.010
_cell_length_b 7.324
_cell_length_c 7.029
_cell_angle_alpha 90.00
_cell_angle_beta 90.00
_cell_angle_gamma 90.00
loop_
_atom_site_label
_atom_site_fract_x
_atom_site_fract_y
_atom_site_fract_z
Dy1 0.000 0.000 0.249
U1 0.000 0.500 0.500
Pb1 0.000 0.500 0.000
O1 0.000 0.313 0.268
O2 0.203 0.000 0.000
O3 0.206 0.000 0.500
# Volume, Å³/atom: 15.04
# Calculated total energy, eV per cell: -193.5
# Formation energy (no corrections), kJ per mole of atoms: -264.3